Material: AcCoNO
Method: DFT, GGA+U
State: relaxed

Lattice parameters (Å, degrees): 5.221 5.221 4.733 90.00 90.00 90.00
Sites, in units of the cell vectors:
Ac 0.250 0.750 0.000
Ac 0.750 0.250 0.000
Co 0.250 0.250 0.469
Co 0.750 0.750 0.531
N 0.250 0.250 0.049
N 0.750 0.750 0.951
O 0.250 0.750 0.500
O 0.750 0.250 0.500

Distance to the lowest polymorph of the same formula: 402 meV per atom
Final energy: -25.79 eV per formula unit